# CeCrCl5

An optimized crystal structure of CeCrCl5 (PBE, the Alexandria database).

abc: 6.9626 6.9626 9.4272
angles: 70.28 70.28 71.93
Closest atoms and distances in Å follow each position.
Atoms (fractional coordinates):
Ce 0.5626 0.4374 0.2500  7 Cl 2.68-2.95
Ce 0.4374 0.5626 0.7500  7 Cl 2.68-2.95
Cr 0.0000 0.0000 0.0000  6 Cl 2.45-2.54
Cr 0.0000 0.0000 0.5000  6 Cl 2.45-2.54
Cl 0.7932 0.7268 0.1277  1 Cr 2.47, 1 Ce 2.68
Cl 0.2870 0.6753 0.4688  1 Cr 2.54
Cl 0.7268 0.7932 0.6277  1 Cr 2.47, 1 Ce 2.68
Cl 0.9165 0.0835 0.2500  2 Cr 2.45
Cl 0.3247 0.7130 0.0312  1 Cr 2.54
Cl 0.6753 0.2870 0.9688  1 Cr 2.54
Cl 0.0835 0.9165 0.7500  2 Cr 2.45
Cl 0.2732 0.2068 0.3723  1 Cr 2.47, 1 Ce 2.68
Cl 0.7130 0.3247 0.5312  1 Cr 2.54
Cl 0.2068 0.2732 0.8723  1 Cr 2.47, 1 Ce 2.68

The space group is No. 15. The uncorrected formation energy is -1.60 eV per atom. Its calculated density is 3.1 Mg/m³.